Record 1
A plane-wave DFT calculation with PBE was carried out for crystalline Ta12Nb6Ir at its relaxed geometry.

## Properties
For the formation energy from the elements, the calculation gives 0.09 eV/atom. As for the space group: R-3. The calculation puts the size of the total moment at 0.0000 μB per atom. Its total energy is -11.0456 eV/atom. The density comes out at 13.62 g cm⁻³.

Cell and atoms, written as POSCAR:
```
Ta12Nb6Ir
1.0
-4.413 5.065 -2.267
-2.091 -4.019 -5.453
-5.335 -2.700 3.810
Nb Ta Ir
6 12 1
direct
0.733 0.886 0.261
0.739 0.267 0.114
0.114 0.739 0.267
0.267 0.114 0.739
0.261 0.733 0.886
0.886 0.261 0.733
0.620 0.943 0.851
0.149 0.380 0.057
0.380 0.057 0.149
0.520 0.422 0.810
0.851 0.620 0.943
0.810 0.520 0.422
0.480 0.578 0.190
0.943 0.851 0.620
0.578 0.190 0.480
0.057 0.149 0.380
0.422 0.810 0.520
0.190 0.480 0.578
0.000 0.000 0.000
```



Record 2
A plane-wave DFT calculation with PBE was carried out for crystalline TaNb2Ir at its relaxed geometry.

## Properties
For the formation energy from the elements, the calculation gives 0.26 eV/atom. As for the space group: I-42d. The calculation puts the size of the total moment at 0.0000 μB per atom. Its total energy is -9.9508 eV/atom. The density comes out at 12.38 g cm⁻³.

Cell and atoms, written as POSCAR:
```
TaNb2Ir
1.0
7.500 0.000 0.000
0.000 7.500 0.000
3.750 3.750 2.665
Ir Nb Ta
2 4 2
direct
0.000 0.000 0.000
0.750 0.250 0.500
0.375 0.352 0.750
0.648 0.125 0.250
0.875 0.898 0.750
0.102 0.625 0.250
0.500 0.500 0.000
0.250 0.750 0.500
```



Record 3
A plane-wave DFT calculation with PBE was carried out for crystalline Ta6Nb2Ir at its relaxed geometry.

## Properties
For the formation energy from the elements, the calculation gives 0.07 eV/atom. As for the space group: Amm2. The calculation puts the size of the total moment at 0.0000 μB per atom. Its total energy is -11.0532 eV/atom. The density comes out at 14.72 g cm⁻³.

Cell and atoms, written as POSCAR:
```
Ta6Nb2Ir
1.0
2.920 0.000 0.000
0.000 7.640 0.000
0.000 -3.820 7.399
Ta Ir Nb
6 1 2
direct
0.000 0.724 0.703
0.000 0.251 0.000
0.500 0.591 0.000
0.000 0.021 0.297
0.500 0.032 0.660
0.500 0.372 0.340
0.500 0.959 0.000
0.000 0.696 0.344
0.000 0.353 0.656
```



Record 4
A plane-wave DFT calculation with PBE was carried out for crystalline Ta2NbIr at its relaxed geometry.

## Properties
For the formation energy from the elements, the calculation gives 0.38 eV/atom. As for the space group: I-42d. The calculation puts the size of the total moment at 0.0000 μB per atom. Its total energy is -10.2768 eV/atom. The density comes out at 14.49 g cm⁻³.

Cell and atoms, written as POSCAR:
```
Ta2NbIr
1.0
3.817 0.000 0.000
0.000 3.817 0.000
1.909 1.909 10.177
Ta Nb Ir
4 2 2
direct
0.375 0.375 0.750
0.875 0.875 0.750
0.125 0.625 0.250
0.625 0.125 0.250
0.250 0.750 0.500
0.500 0.500 0.000
0.000 0.000 0.000
0.750 0.250 0.500
```